1.
Below is crystalline LiTlSnOs2 at its relaxed geometry, with properties calculated at the PBE level.

Lattice parameters (Å, degrees): 4.9965 4.3530 4.9965 90.00 90.00 90.00
Site moments in Bohr magnetons follow the coordinates.
Fractional positions:
1 Tl 0.0000 0.0000 0.0000  0.00
2 Sn 0.5000 0.5000 0.5000  -0.01
3 Os 0.5000 0.0000 0.0000  0.06
4 Os 0.0000 0.0000 0.5000  0.07
5 Li 0.0000 0.5000 0.0000  0.00

## Properties
Space group: P4/mmm

***

2.
Below is crystalline LiYSnOs2 at its relaxed geometry, with properties calculated at the PBE level.

Lattice parameters (Å, degrees): 4.4723 4.4723 4.3438 90.00 90.00 90.00
Fractional positions:
1 Li 0.0000 0.0000 0.0000
2 Sn 0.0000 0.0000 0.5000
3 Os 0.5000 0.0000 0.0000
4 Y 0.5000 0.5000 0.5000
5 Os 0.0000 0.5000 0.0000

## Properties
Space group: P4/mmm

***

3.
Below is crystalline Sr2LiOs at its relaxed geometry, with properties calculated at the PBE level.

Lattice parameters (Å, degrees): 6.5598 6.5598 6.5598 147.86 132.12 58.84
Fractional positions:
1 Sr 0.7503 0.2503 0.5000
2 Sr 0.0514 0.0514 0.0000
3 Li 0.4301 0.4301 0.0000
4 Os 0.2682 0.7682 0.5000

## Properties
Space group: Imm2

***

4.
Below is crystalline Sr2LiOs at its relaxed geometry, with properties calculated at the PBE level.

Lattice parameters (Å, degrees): 5.3966 5.3966 3.6640 90.00 90.00 89.97
Site moments in Bohr magnetons follow the coordinates.
Fractional positions:
1 Li 0.5000 0.0000 0.5000  0.00
2 Sr 0.0000 0.0000 0.0000  -0.01
3 Sr 0.5000 0.5000 0.0000  -0.01
4 Os 0.0000 0.5000 0.5000  0.67

## Properties
Space group: P4/mmm

***

5.
Below is crystalline SrLiOs2 at its relaxed geometry, with properties calculated at the PBE level.

Lattice parameters (Å, degrees): 4.9535 3.7986 3.7986 90.00 90.00 90.00
Fractional positions:
1 Li 0.5000 0.0000 0.5000
2 Os 0.0000 0.0000 0.0000
3 Sr 0.5000 0.5000 0.0000
4 Os 0.0000 0.5000 0.5000

## Properties
Space group: P4/mmm

***

6.
Below is crystalline SrLiOs2 at its relaxed geometry, with properties calculated at the PBE level.

Lattice parameters (Å, degrees): 5.4726 5.4726 4.6836 73.14 73.14 30.63
Fractional positions:
1 Li 0.7500 0.7500 0.7500
2 Os 0.4795 0.4795 0.5337
3 Os 0.0205 0.0205 0.9663
4 Sr 0.2500 0.2500 0.2500

## Properties
Space group: C2/m

***

7.
Below is crystalline SrLiOs2 at its relaxed geometry, with properties calculated at the PBE level.

Lattice parameters (Å, degrees): 3.0295 3.0295 8.0591 90.00 90.00 90.00
Fractional positions:
1 Sr 0.0000 0.0000 0.4846
2 Os 0.5000 0.5000 0.1913
3 Os 0.0000 0.0000 0.0086
4 Li 0.5000 0.5000 0.8155

## Properties
Space group: P4mm

***

8.
Below is crystalline SrLiOs2 at its relaxed geometry, with properties calculated at the PBE level.

Lattice parameters (Å, degrees): 5.5553 5.5553 2.8600 90.00 90.00 125.07
Fractional positions:
1 Sr 0.5000 0.0000 0.5000
2 Os 0.0000 0.0000 0.0000
3 Os 0.5000 0.5000 0.0000
4 Li 0.0000 0.5000 0.5000

## Properties
Space group: Cmmm

***

9.
Below is crystalline Sr2LiOs at its relaxed geometry, with properties calculated at the PBE level.

Lattice parameters (Å, degrees): 10.6193 10.6193 10.6193 20.12 20.12 20.12
Site moments in Bohr magnetons follow the coordinates.
Fractional positions:
1 Sr 0.0160 0.0160 0.0160  -0.01
2 Sr 0.4840 0.4840 0.4840  -0.01
3 Li 0.2500 0.2500 0.2500  0.00
4 Os 0.7500 0.7500 0.7500  0.33

## Properties
Space group: R-3m

***

10.
Below is crystalline Sr2LiOs at its relaxed geometry, with properties calculated at the PBE level.

Lattice parameters (Å, degrees): 5.7670 5.7670 5.7670 132.86 132.86 68.88
Site moments in Bohr magnetons follow the coordinates.
Fractional positions:
1 Os 0.7500 0.2500 0.5000  0.23
2 Li 0.5000 0.5000 0.0000  -0.01
3 Sr 0.0000 0.0000 0.0000  -0.01
4 Sr 0.2500 0.7500 0.5000  -0.01

## Properties
Space group: I-4m2

***

11.
Below is crystalline SrLiOs2 at its relaxed geometry, with properties calculated at the PBE level.

Lattice parameters (Å, degrees): 4.7327 4.1493 4.1531 70.23 90.00 90.00
Fractional positions:
1 Os 0.0000 0.5718 0.5716
2 Li 0.5000 0.7500 0.7500
3 Sr 0.5000 0.2500 0.2500
4 Os 0.0000 0.9282 0.9284

## Properties
Space group: Cmmm

***

12.
Below is crystalline SrLiOs2 at its relaxed geometry, with properties calculated at the PBE level.

Lattice parameters (Å, degrees): 4.9752 4.9752 4.9752 129.50 116.80 85.01
Fractional positions:
1 Os 0.9620 0.9620 0.0000
2 Li 0.2220 0.7220 0.5000
3 Os 0.8090 0.3090 0.5000
4 Sr 0.5070 0.5070 0.0000

## Properties
Space group: Imm2

***

13.
Below is crystalline Sr2LiOs at its relaxed geometry, with properties calculated at the PBE level.

Lattice parameters (Å, degrees): 3.6028 3.6028 8.4597 90.00 90.00 90.00
Fractional positions:
1 Sr 0.0000 0.0000 0.9066
2 Sr 0.5000 0.5000 0.3365
3 Os 0.5000 0.5000 0.6779
4 Li 0.0000 0.0000 0.5789

## Properties
Space group: P4mm

***

14.
Below is crystalline Sr2LiOs at its relaxed geometry, with properties calculated at the PBE level.

Lattice parameters (Å, degrees): 6.0698 6.0698 5.4015 71.73 71.73 34.90
Fractional positions:
1 Sr 0.9571 0.9571 0.0792
2 Os 0.2244 0.2244 0.2380
3 Sr 0.7556 0.7556 0.7306
4 Li 0.5629 0.5629 0.4523

## Properties
Space group: Cm

***

15.
Below is crystalline SrLiOs2 at its relaxed geometry, with properties calculated at the PBE level.

Lattice parameters (Å, degrees): 3.2194 3.2194 7.0799 90.00 90.00 90.00
Fractional positions:
1 Os 0.0000 0.0000 0.5863
2 Li 0.5000 0.5000 0.7500
3 Sr 0.5000 0.5000 0.2500
4 Os 0.0000 0.0000 0.9137

## Properties
Space group: P4/mmm

***

16.
Below is crystalline SrLiOs3 at its relaxed geometry, with properties calculated at the PBE level.

Lattice parameters (Å, degrees): 4.9729 4.9729 4.9729 90.00 90.00 90.00
Site moments in Bohr magnetons follow the coordinates.
Fractional positions:
1 Os 0.5000 0.0000 0.0000  1.49
2 Sr 0.0000 0.0000 0.0000  -0.04
3 Li 0.5000 0.5000 0.5000  -0.02
4 Os 0.0000 0.0000 0.5000  1.55
5 Os 0.0000 0.5000 0.0000  1.69

## Properties
Space group: Pm-3m

***

17.
Below is crystalline SrLiOs2 at its relaxed geometry, with properties calculated at the PBE level.

Lattice parameters (Å, degrees): 2.7561 2.7561 9.7824 90.00 90.00 115.46
Fractional positions:
1 Li 0.5000 0.5000 0.7500
2 Os 0.0000 0.0000 0.5217
3 Os 0.0000 0.0000 0.9783
4 Sr 0.5000 0.5000 0.2500

## Properties
Space group: Cmmm

***

18.
Below is crystalline Sr2LiOs at its relaxed geometry, with properties calculated at the PBE level.

Lattice parameters (Å, degrees): 4.5283 4.3279 6.1216 69.28 90.00 90.00
Site moments in Bohr magnetons follow the coordinates.
Fractional positions:
1 Sr 0.0000 0.9884 0.8981  -0.01
2 Li 0.0000 0.6762 0.5228  0.00
3 Os 0.5000 0.5677 0.7395  0.49
4 Sr 0.5000 0.2677 0.3397  0.00

## Properties
Space group: Amm2

***

19.
Below is crystalline SrLiOs2 at its relaxed geometry, with properties calculated at the PBE level.

Lattice parameters (Å, degrees): 2.7195 2.7195 9.2705 90.00 90.00 90.00
Site moments in Bohr magnetons follow the coordinates.
Fractional positions:
1 Sr 0.5000 0.5000 0.2500  -0.01
2 Li 0.5000 0.5000 0.7500  0.00
3 Os 0.0000 0.0000 0.5283  0.31
4 Os 0.0000 0.0000 0.9717  0.31

## Properties
Space group: P4/mmm

***

20.
Below is crystalline SrLiOs2 at its relaxed geometry, with properties calculated at the PBE level.

Lattice parameters (Å, degrees): 10.1954 10.1954 10.1954 15.63 15.63 15.63
Site moments in Bohr magnetons follow the coordinates.
Fractional positions:
1 Os 0.0086 0.0086 0.0086  0.21
2 Os 0.4914 0.4914 0.4914  0.21
3 Sr 0.2500 0.2500 0.2500  -0.01
4 Li 0.7500 0.7500 0.7500  0.00

## Properties
Space group: R-3m

***

21.
Below is crystalline SrLiOs2 at its relaxed geometry, with properties calculated at the PBE level.

Lattice parameters (Å, degrees): 5.6383 5.6383 5.6383 140.52 140.52 57.06
Fractional positions:
1 Os 0.5000 0.5000 0.0000
2 Os 0.0000 0.0000 0.0000
3 Li 0.2500 0.7500 0.5000
4 Sr 0.7500 0.2500 0.5000

## Properties
Space group: I4/mmm

***

22.
Below is crystalline Sr2LiOs at its relaxed geometry, with properties calculated at the PBE level.

Lattice parameters (Å, degrees): 3.5805 3.6643 9.0289 90.00 90.00 90.00
Fractional positions:
1 Li 0.5000 0.5000 0.2500
2 Sr 0.0000 0.0000 0.5551
3 Sr 0.0000 0.0000 0.9449
4 Os 0.5000 0.5000 0.7500

## Properties
Space group: Pmmm

***

23.
Below is crystalline Sr2LiOs at its relaxed geometry, with properties calculated at the PBE level.

Lattice parameters (Å, degrees): 4.5576 4.5576 8.8022 85.25 85.25 42.43
Site moments in Bohr magnetons follow the coordinates.
Fractional positions:
1 Sr 0.9832 0.9832 0.0513  0.00
2 Sr 0.5168 0.5168 0.4487  0.00
3 Li 0.7500 0.7500 0.7500  0.00
4 Os 0.2500 0.2500 0.2500  0.30

## Properties
Space group: C2/m

***

24.
Below is crystalline SrLiOs3 at its relaxed geometry, with properties calculated at the PBE level.

Lattice parameters (Å, degrees): 4.3927 4.3927 4.3927 90.00 90.00 90.00
Site moments in Bohr magnetons follow the coordinates.
Fractional positions:
1 Os 0.0000 0.0000 0.5000  0.52
2 Li 0.0000 0.0000 0.0000  -0.01
3 Os 0.5000 0.0000 0.0000  0.38
4 Os 0.0000 0.5000 0.0000  0.63
5 Sr 0.5000 0.5000 0.5000  0.01

## Properties
Space group: Pm-3m

***

25.
Below is crystalline Sr2LiOs at its relaxed geometry, with properties calculated at the PBE level.

Lattice parameters (Å, degrees): 5.1741 5.1741 5.1741 60.00 60.00 60.00
Fractional positions:
1 Li 0.5000 0.5000 0.5000
2 Os 0.7500 0.7500 0.7500
3 Sr 0.0000 0.0000 0.0000
4 Sr 0.2500 0.2500 0.2500

## Properties
Space group: F-43m

***

26.
Below is crystalline SrLiOs2 at its relaxed geometry, with properties calculated at the PBE level.

Lattice parameters (Å, degrees): 3.0160 4.5392 5.0668 90.00 90.00 90.00
Fractional positions:
1 Os 0.0000 0.0000 0.0000
2 Os 0.5000 0.5000 0.0000
3 Li 0.0000 0.5000 0.5000
4 Sr 0.5000 0.0000 0.5000

## Properties
Space group: Pmmm

***

27.
Below is crystalline SrLiOs2 at its relaxed geometry, with properties calculated at the PBE level.

Lattice parameters (Å, degrees): 3.8244 2.8815 7.6791 69.60 90.00 90.00
Fractional positions:
1 Os 0.5000 0.3296 0.1672
2 Sr 0.0000 0.5382 0.4823
3 Os 0.0000 0.9587 0.0326
4 Li 0.5000 0.6735 0.8178

## Properties
Space group: Pm

***

28.
Below is crystalline SrLiOs2 at its relaxed geometry, with properties calculated at the PBE level.

Lattice parameters (Å, degrees): 5.7577 5.7577 5.7577 150.87 132.78 56.45
Fractional positions:
1 Sr 0.7500 0.2500 0.5000
2 Li 0.2500 0.7500 0.5000
3 Os 0.4782 0.4782 0.0000
4 Os 0.0218 0.0218 0.0000

## Properties
Space group: Immm

***

29.
Below is crystalline SrLiOs2 at its relaxed geometry, with properties calculated at the PBE level.

Lattice parameters (Å, degrees): 4.5902 4.5902 9.6319 76.21 76.21 90.00
Site moments in Bohr magnetons follow the coordinates.
Fractional positions:
1 Li 0.5000 0.5000 0.0000  0.00
2 Os 0.3167 0.1250 0.2500  0.08
3 Os 0.3750 0.6833 0.7500  0.08
4 Sr 0.0000 0.0000 0.0000  0.00
5 Sr 0.7500 0.2500 0.5000  0.00
6 Os 0.4333 0.6250 0.2500  0.08
7 Li 0.2500 0.7500 0.5000  0.00
8 Os 0.8750 0.5667 0.7500  0.08

## Properties
Space group: I-42d

***

30.
Below is crystalline Sr2LiOs at its relaxed geometry, with properties calculated at the PBE level.

Lattice parameters (Å, degrees): 8.3334 8.3334 6.7533 51.90 51.90 90.00
Site moments in Bohr magnetons follow the coordinates.
Fractional positions:
1 Sr 0.0980 0.6250 0.2500  0.01
2 Li 0.5000 0.5000 0.0000  0.01
3 Sr 0.8750 0.9020 0.7500  0.01
4 Os 0.7500 0.2500 0.5000  0.43
5 Li 0.2500 0.7500 0.5000  0.01
6 Sr 0.6520 0.1250 0.2500  0.01
7 Sr 0.3750 0.3480 0.7500  0.01
8 Os 0.0000 0.0000 0.0000  0.43

## Properties
Space group: I-42d

***

Number 1: formation enthalpy at 0 K 1.74 eV/atom, raw total energy -4.404 eV/atom, total moment 0.12 μB/cell. Number 2: formation enthalpy at 0 K 0.59 eV/atom, raw total energy -6.374 eV/atom, total moment 0.00 μB/cell. Number 3: formation enthalpy at 0 K 0.55 eV/atom, raw total energy -3.574 eV/atom, total moment 0.00 μB/cell. Number 4: formation enthalpy at 0 K 0.60 eV/atom, raw total energy -3.523 eV/atom, total moment 0.70 μB/cell. Number 5: formation enthalpy at 0 K 0.74 eV/atom, raw total energy -5.778 eV/atom, total moment 0.00 μB/cell. Number 6: formation enthalpy at 0 K 0.65 eV/atom, raw total energy -5.859 eV/atom, total moment 0.00 μB/cell. Number 7: formation enthalpy at 0 K 0.50 eV/atom, raw total energy -6.016 eV/atom, total moment 0.00 μB/cell. Number 8: formation enthalpy at 0 K 0.84 eV/atom, raw total energy -5.679 eV/atom, total moment 0.00 μB/cell. Number 9: formation enthalpy at 0 K 0.72 eV/atom, raw total energy -3.406 eV/atom, total moment 0.36 μB/cell. Number 10: formation enthalpy at 0 K 0.67 eV/atom, raw total energy -3.455 eV/atom, total moment 0.20 μB/cell. Number 11: formation enthalpy at 0 K 0.51 eV/atom, raw total energy -6.005 eV/atom, total moment 0.00 μB/cell. Number 12: formation enthalpy at 0 K 0.55 eV/atom, raw total energy -5.959 eV/atom, total moment 0.00 μB/cell. Number 13: formation enthalpy at 0 K 0.57 eV/atom, raw total energy -3.557 eV/atom, total moment 0.21 μB/cell. Number 14: formation enthalpy at 0 K 0.55 eV/atom, raw total energy -3.575 eV/atom, total moment 0.00 μB/cell. Number 15: formation enthalpy at 0 K 0.85 eV/atom, raw total energy -5.662 eV/atom, total moment 0.00 μB/cell. Number 16: formation enthalpy at 0 K 3.37 eV/atom, raw total energy -4.088 eV/atom, total moment 4.85 μB/cell. Number 17: formation enthalpy at 0 K 0.89 eV/atom, raw total energy -5.628 eV/atom, total moment 0.00 μB/cell. Number 18: formation enthalpy at 0 K 0.49 eV/atom, raw total energy -3.632 eV/atom, total moment 0.57 μB/cell. Number 19: formation enthalpy at 0 K 0.94 eV/atom, raw total energy -5.578 eV/atom, total moment 0.67 μB/cell. Number 20: formation enthalpy at 0 K 0.86 eV/atom, raw total energy -5.657 eV/atom, total moment 0.41 μB/cell. Number 21: formation enthalpy at 0 K 0.78 eV/atom, raw total energy -5.737 eV/atom, total moment 0.05 μB/cell. Number 22: formation enthalpy at 0 K 0.51 eV/atom, raw total energy -3.622 eV/atom, total moment 0.00 μB/cell. Number 23: formation enthalpy at 0 K 0.68 eV/atom, raw total energy -3.445 eV/atom, total moment 0.28 μB/cell. Number 24: formation enthalpy at 0 K 1.51 eV/atom, raw total energy -5.950 eV/atom, total moment 1.62 μB/cell. Number 25: formation enthalpy at 0 K 0.72 eV/atom, raw total energy -3.409 eV/atom, total moment 0.00 μB/cell. Number 26: formation enthalpy at 0 K 0.71 eV/atom, raw total energy -5.802 eV/atom, total moment 0.00 μB/cell. Number 27: formation enthalpy at 0 K 0.45 eV/atom, raw total energy -6.065 eV/atom, total moment 0.00 μB/cell. Number 28: formation enthalpy at 0 K 0.67 eV/atom, raw total energy -5.847 eV/atom, total moment 0.00 μB/cell. Number 29: formation enthalpy at 0 K 0.88 eV/atom, raw total energy -5.632 eV/atom, total moment 0.41 μB/cell. Number 30: formation enthalpy at 0 K 0.85 eV/atom, raw total energy -3.278 eV/atom, total moment 1.23 μB/cell.